1.
First-principles (PBE-GGA) data for crystalline YAs2 at its relaxed geometry, as listed in Alexandria.

Lattice parameters (Å, degrees): 4.160 4.160 4.227 90.00 90.00 90.00
Positions (direct):
Y1 0.000 0.000 0.000
As1 0.000 0.500 0.500
As2 0.500 0.000 0.500

Properties
Symmetry   P4/mmm
Calculated volume   24.386 Å³ per atom
Size of the total moment   0.0 μB/f.u.
Energy of formation from the pure elements   -823 meV/atom


2.
First-principles (PBE-GGA) data for crystalline YAs3 at its relaxed geometry, as listed in Alexandria.

Lattice parameters (Å, degrees): 5.471 5.471 5.471 90.00 90.00 90.00
Positions (direct):
Y1 0.000 0.000 0.000
As1 0.500 0.000 0.000
As2 0.000 0.500 0.000
As3 0.000 0.000 0.500

Properties
Symmetry   Pm-3m
Calculated volume   40.947 Å³ per atom
Size of the total moment   0.0 μB/f.u.
Energy of formation from the pure elements   514 meV/atom


3.
First-principles (PBE-GGA) data for crystalline Y3As4 at its relaxed geometry, as listed in Alexandria.

Lattice parameters (Å, degrees): 11.618 11.618 11.618 160.13 160.13 28.24
Positions (direct):
Y1 0.000 0.000 0.000
Y2 0.311 0.311 0.000
Y3 0.689 0.689 0.000
As1 0.181 0.181 0.000
As2 0.819 0.819 0.000
As3 0.447 0.447 0.000
As4 0.553 0.553 0.000

Properties
Energy above the most stable polymorph in this dataset   0 meV/atom
Symmetry   I4/mmm
Calculated volume   25.867 Å³ per atom
Size of the total moment   0.0 μB/f.u.
Energy of formation from the pure elements   -1064 meV/atom


4.
First-principles (PBE-GGA) data for crystalline YAs2 at its relaxed geometry, as listed in Alexandria.

Lattice parameters (Å, degrees): 4.559 4.559 3.733 90.00 90.00 120.00
Positions (direct):
Y1 0.000 0.000 0.000
As1 0.667 0.333 0.500
As2 0.333 0.667 0.500

Properties
Symmetry   P6/mmm
Calculated volume   22.400 Å³ per atom
Size of the total moment   0.0 μB/f.u.
Energy of formation from the pure elements   -625 meV/atom


5.
First-principles (PBE-GGA) data for crystalline Y7As at its relaxed geometry, as listed in Alexandria.

Lattice parameters (Å, degrees): 6.910 6.910 6.910 60.00 60.00 60.00
Positions (direct):
Y1 0.500 0.000 0.500
Y2 0.500 0.000 0.000
Y3 0.500 0.500 0.000
Y4 0.000 0.500 0.000
Y5 0.000 0.500 0.500
Y6 0.000 0.000 0.500
Y7 0.500 0.500 0.500
As1 0.000 0.000 0.000

Properties
Symmetry   Fm-3m
Calculated volume   29.166 Å³ per atom
Size of the total moment   0.8 μB/f.u.
Energy of formation from the pure elements   -124 meV/atom


6.
First-principles (PBE-GGA) data for crystalline Y7As6 at its relaxed geometry, as listed in Alexandria.

Lattice parameters (Å, degrees): 11.086 11.086 11.086 34.47 34.47 34.47
Positions (direct):
Y1 0.569 0.065 0.569
Y2 0.569 0.569 0.065
Y3 0.065 0.569 0.569
Y4 0.431 0.935 0.431
Y5 0.935 0.431 0.431
Y6 0.431 0.431 0.935
Y7 0.500 0.500 0.500
As1 0.073 0.073 0.073
As2 0.927 0.927 0.927
As3 0.197 0.197 0.197
As4 0.803 0.803 0.803
As5 0.333 0.333 0.333
As6 0.667 0.667 0.667

Properties
Symmetry   R-3m
Calculated volume   29.958 Å³ per atom
Size of the total moment   0.0 μB/f.u.
Energy of formation from the pure elements   -494 meV/atom


7.
First-principles (PBE-GGA) data for crystalline YAs3 at its relaxed geometry, as listed in Alexandria.

Lattice parameters (Å, degrees): 5.512 5.512 5.512 90.00 90.00 90.00
Positions (direct):
Y1 0.000 0.000 0.000
Y2 0.500 0.500 0.500
As1 0.750 0.500 0.000
As2 0.250 0.500 0.000
As3 0.000 0.750 0.500
As4 0.000 0.250 0.500
As5 0.500 0.000 0.250
As6 0.500 0.000 0.750

Properties
Symmetry   Pm-3n
Calculated volume   20.933 Å³ per atom
Size of the total moment   0.0 μB/f.u.
Energy of formation from the pure elements   -429 meV/atom


8.
First-principles (PBE-GGA) data for crystalline YAs2 at its relaxed geometry, as listed in Alexandria.

Lattice parameters (Å, degrees): 5.772 5.772 5.772 118.90 118.90 91.92
Positions (direct):
Y1 0.750 0.750 0.000
Y2 0.250 0.250 0.000
As1 0.344 0.156 0.500
As2 0.656 0.844 0.500
As3 0.156 0.656 0.812
As4 0.844 0.344 0.188

Properties
Symmetry   I4/mcm
Calculated volume   23.023 Å³ per atom
Size of the total moment   0.0 μB/f.u.
Energy of formation from the pure elements   -896 meV/atom


9.
First-principles (PBE-GGA) data for crystalline YAs7 at its relaxed geometry, as listed in Alexandria.

Lattice parameters (Å, degrees): 6.101 6.101 6.101 60.00 60.00 60.00
Positions (direct):
Y1 0.000 0.000 0.000
As1 0.000 0.500 0.000
As2 0.000 0.000 0.500
As3 0.500 0.000 0.000
As4 0.500 0.000 0.500
As5 0.500 0.500 0.000
As6 0.000 0.500 0.500
As7 0.500 0.500 0.500

Properties
Symmetry   Fm-3m
Calculated volume   20.075 Å³ per atom
Size of the total moment   0.0 μB/f.u.
Energy of formation from the pure elements   29 meV/atom


10.
First-principles (PBE-GGA) data for crystalline YAs3 at its relaxed geometry, as listed in Alexandria.

Lattice parameters (Å, degrees): 3.951 4.256 5.719 71.00 90.00 90.00
Positions (direct):
Y1 0.500 0.250 0.250
As1 0.000 0.924 0.023
As2 0.500 0.750 0.750
As3 0.000 0.576 0.477

Properties
Symmetry   P2/m
Calculated volume   22.730 Å³ per atom
Size of the total moment   0.0 μB/f.u.
Energy of formation from the pure elements   -570 meV/atom


11.
First-principles (PBE-GGA) data for crystalline Y2ZnAs at its relaxed geometry, as listed in Alexandria.

Lattice parameters (Å, degrees): 5.088 5.088 5.088 60.00 60.00 60.00
Positions (direct):
As1 0.500 0.500 0.500
Y1 0.000 0.000 0.000
Y2 0.250 0.250 0.250
Zn1 0.750 0.750 0.750

Properties
Energy above the most stable polymorph in this dataset   887 meV/atom
Symmetry   F-43m
Calculated volume   23.280 Å³ per atom
Size of the total moment   0.0 μB/f.u.
Energy of formation from the pure elements   15 meV/atom


12.
First-principles (PBE-GGA) data for crystalline YZnAs2 at its relaxed geometry, as listed in Alexandria.

Lattice parameters (Å, degrees): 3.973 3.973 5.729 90.00 90.00 90.00
Positions (direct):
As1 0.000 0.000 0.911
As2 0.500 0.500 0.344
Y1 0.000 0.000 0.421
Zn1 0.500 0.500 0.825

Properties
Symmetry   P4mm
Calculated volume   22.609 Å³ per atom
Size of the total moment   0.0 μB/f.u.
Energy of formation from the pure elements   -553 meV/atom


13.
First-principles (PBE-GGA) data for crystalline Y2ZnAs at its relaxed geometry, as listed in Alexandria.

Lattice parameters (Å, degrees): 3.595 3.595 7.823 90.00 90.00 101.73
Positions (direct):
As1 0.500 0.500 0.713
Y1 0.000 0.000 0.941
Y2 0.500 0.500 0.302
Zn1 0.000 0.000 0.543

Properties
Energy above the most stable polymorph in this dataset   494 meV/atom
Symmetry   Cmm2
Calculated volume   24.742 Å³ per atom
Size of the total moment   0.0 μB/f.u.
Energy of formation from the pure elements   -377 meV/atom


14.
First-principles (PBE-GGA) data for crystalline Y2ZnAs at its relaxed geometry, as listed in Alexandria.

Lattice parameters (Å, degrees): 4.049 4.049 7.526 74.39 74.39 60.02
Positions (direct):
Y1 0.993 0.993 0.022
Y2 0.507 0.507 0.478
As1 0.250 0.250 0.250
Zn1 0.750 0.750 0.750

Properties
Energy above the most stable polymorph in this dataset   49 meV/atom
Symmetry   R-3m
Calculated volume   25.396 Å³ per atom
Size of the total moment   0.0 μB/f.u.
Energy of formation from the pure elements   -822 meV/atom